No. 1
## Pu2GeN (GGA-PBE)

Data for crystalline Pu2GeN at its relaxed geometry.

Unit cell a=3.1026 b=16.3819 c=6.3231 alpha=90.00 beta=90.00 gamma=90.00
Space group Cmcm (No. 63)
Unique sites:
Pu: 0.0000 0.0000 0.0000
Pu: 0.0000 0.1767 0.2500
Ge: 0.0000 0.1590 0.7500
N: 0.0000 0.4323 0.7500

- distance to the lowest polymorph of the same formula (meV/atom) = 133
- DOS(E_F) (states/eV/atom) = 2.72
- E_tot (eV/atom) = -10.975

No. 2
## Pu3Ge2N (GGA-PBE)

Data for crystalline Pu3Ge2N at its relaxed geometry.

Unit cell a=14.1306 b=5.6864 c=6.3182 alpha=90.00 beta=102.92 gamma=90.00
Space group C2/c (No. 15)
Unique sites:
Pu: 0.0000 0.9999 0.2500
Pu: 0.1254 0.4999 0.0628
Ge: 0.1837 0.9999 0.0915
N: 0.0000 0.4991 0.2500

- DOS(E_F) (states/eV/atom) = 2.86
- E_tot (eV/atom) = -10.595

No. 3
## PuGeN2 (GGA-PBE)

Data for crystalline PuGeN2 at its relaxed geometry.

Unit cell a=3.4790 b=3.4790 c=18.9409 alpha=90.00 beta=90.00 gamma=120.00
Space group R-3m (No. 166, hexagonal axes)
Unique sites:
Pu: 0.0000 0.0000 0.0000
Ge: 0.0000 0.0000 0.5000
N: 0.0000 0.0000 0.3842

- DOS(E_F) (states/eV/atom) = 1.69
- E_tot (eV/atom) = -9.252

No. 4
## Pu2GeN (GGA-PBE)

Data for crystalline Pu2GeN at its relaxed geometry.

Unit cell a=4.0267 b=4.0267 c=14.9749 alpha=90.00 beta=90.00 gamma=120.00
Space group R-3m (No. 166, hexagonal axes)
Unique sites:
Pu: 0.0000 0.0000 0.1953
Ge: 0.0000 0.0000 0.0000
N: 0.0000 0.0000 0.5000

- distance to the lowest polymorph of the same formula (meV/atom) = 696
- DOS(E_F) (states/eV/atom) = 1.22
- E_tot (eV/atom) = -10.412

No. 5
## Pu2GeN (GGA-PBE)

Data for crystalline Pu2GeN at its relaxed geometry.

Unit cell a=3.0861 b=3.0861 c=7.3770 alpha=90.00 beta=90.00 gamma=90.00
Space group P4/mmm (No. 123)
Unique sites:
Pu: 0.0000 0.0000 0.1979
Ge: 0.5000 0.5000 0.5000
N: 0.5000 0.5000 0.0000

- distance to the lowest polymorph of the same formula (meV/atom) = 181
- DOS(E_F) (states/eV/atom) = 2.13
- E_tot (eV/atom) = -10.927

No. 6
## Pu6Ge3N (GGA-PBE)

Data for crystalline Pu6Ge3N at its relaxed geometry.

Unit cell a=10.6098 b=6.1022 c=7.1890 alpha=90.00 beta=101.02 gamma=90.00
Space group C2/m (No. 12)
Unique sites:
Pu: 0.1081 0.2449 0.3566
Pu: 0.1572 0.5000 0.8738
Ge: 0.0000 0.0000 0.0000
Ge: 0.1606 0.0000 0.7310
N: 0.0000 0.5000 0.5000

- DOS(E_F) (states/eV/atom) = 3.47
- E_tot (eV/atom) = -11.235

No. 7
## Pu3GeN2 (GGA-PBE)

Data for crystalline Pu3GeN2 at its relaxed geometry.

Unit cell a=3.3243 b=11.3689 c=5.1292 alpha=90.00 beta=90.00 gamma=90.00
Space group Pmc2_1 (No. 26)
Unique sites:
Pu: 0.0000 0.1063 0.0000
Pu: 0.5000 0.1609 0.3729
Pu: 0.5000 0.3856 0.8109
Ge: 0.0000 0.3844 0.2998
N: 0.0000 0.2619 0.6237
N: 0.5000 0.0448 0.7246

- DOS(E_F) (states/eV/atom) = 2.41
- E_tot (eV/atom) = -11.459

No. 8
## Pu8Ge2N (GGA-PBE)

Data for crystalline Pu8Ge2N at its relaxed geometry.

Unit cell a=4.3860 b=4.3860 c=12.2998 alpha=90.00 beta=90.00 gamma=90.00
Space group P4/mmm (No. 123)
Unique sites:
Pu: 0.0000 0.0000 0.1884
Pu: 0.0000 0.5000 0.0000
Pu: 0.0000 0.5000 0.3796
Ge: 0.5000 0.5000 0.1924
N: 0.5000 0.5000 0.5000

- DOS(E_F) (states/eV/atom) = 3.38
- E_tot (eV/atom) = -12.233

no.,ΔE_f (raw) (meV/atom)
1,-573
2,-503
3,-352
4,-11
5,-526
6,-418
7,-748
8,-214